Crystalline RbAlAgGe at its relaxed geometry. Source: the Alexandria database, functional GGA-PBE.

abc: 4.0401 4.0401 13.7817
angles: 90.00 90.00 90.00
Element x y z (fractional)
Rb 0.2500 0.2500 0.2282
Rb 0.7500 0.7500 0.7718
Al 0.2500 0.7500 0.5000
Al 0.7500 0.2500 0.5000
Ag 0.2500 0.7500 0.0000
Ag 0.7500 0.2500 0.0000
Ge 0.2500 0.2500 0.6212
Ge 0.7500 0.7500 0.3788

Summary:
ΔH_f (0 K): -57 meV per atom
space group: P4/nmm
E_tot: -3.10 eV per atom